# 1
## CrTeAu2 (PBE-GGA)

Data for crystalline CrTeAu2 at its relaxed geometry.

Lattice parameters (Å, degrees): 3.5934 3.5934 6.2797 90.00 90.00 90.00
Fractional coordinates of all 4 atoms:
Cr (0.0000, 0.0000, 0.0000)
Te (0.5000, 0.5000, 0.2003)
Au (0.0000, 0.0000, 0.5503)
Au (0.5000, 0.5000, 0.7517)

## Properties
Magnetic moment = 3.498 μB/cell
Uncorrected formation energy = 0.128 eV per atom
SG = P4mm, No. 99
Total energy = -4.70 eV per atom


# 2
## KNiAg2Se (PBE-GGA)

Data for crystalline KNiAg2Se at its relaxed geometry.

Lattice parameters (Å, degrees): 5.3364 5.3364 4.4730 90.00 90.00 90.00
Fractional coordinates of all 5 atoms:
K (0.0000, 0.0000, 0.0000)
Ni (0.5000, 0.5000, 0.0000)
Ag (0.0000, 0.5000, 0.5000)
Ag (0.5000, 0.0000, 0.5000)
Se (0.5000, 0.5000, 0.5000)

## Properties
Magnetic moment = 0.000 μB/cell
Uncorrected formation energy = 0.175 eV per atom
SG = P4/mmm, No. 123
Total energy = -3.04 eV per atom


# 3
## Co2PbBr (PBE-GGA)

Data for crystalline Co2PbBr at its relaxed geometry.

Lattice parameters (Å, degrees): 3.2926 3.2926 7.8024 90.00 90.00 97.05
Fractional coordinates of all 4 atoms:
Co (0.0000, 0.0000, 0.0000)
Co (0.5000, 0.5000, 0.1215)
Pb (0.0000, 0.0000, 0.3634)
Br (0.5000, 0.5000, 0.8034)

## Properties
Magnetic moment = 3.689 μB/cell
Energy above the lowest structure with this stoichiometry = 41 meV per atom
Uncorrected formation energy = 0.308 eV per atom
SG = Cmm2, No. 35
Total energy = -4.59 eV per atom


# 4
## BeSi3Br (PBE-GGA)

Data for crystalline BeSi3Br at its relaxed geometry.

Lattice parameters (Å, degrees): 4.9403 4.9403 4.9403 90.00 90.00 90.00
Fractional coordinates of all 5 atoms:
Be (0.0000, 0.0000, 0.0000)
Si (0.0000, 0.5000, 0.5000)
Si (0.5000, 0.0000, 0.5000)
Si (0.5000, 0.5000, 0.0000)
Br (0.5000, 0.5000, 0.5000)

## Properties
Magnetic moment = 0.000 μB/cell
Uncorrected formation energy = 1.816 eV per atom
SG = Pm-3m, No. 221
Total energy = -2.52 eV per atom


# 5
## DyTlHgSe3 (PBE-GGA)

Data for crystalline DyTlHgSe3 at its relaxed geometry.

Lattice parameters (Å, degrees): 8.8791 4.2621 10.0662 90.00 106.61 90.00
Fractional coordinates of all 12 atoms:
Dy (0.1744, 0.2500, 0.1383)
Dy (0.8256, 0.7500, 0.8617)
Tl (0.2832, 0.7500, 0.7744)
Tl (0.7168, 0.2500, 0.2256)
Hg (0.4108, 0.7500, 0.3865)
Hg (0.5892, 0.2500, 0.6135)
Se (0.0398, 0.2500, 0.8472)
Se (0.2598, 0.2500, 0.4559)
Se (0.3930, 0.7500, 0.1190)
Se (0.6070, 0.2500, 0.8810)
Se (0.7402, 0.7500, 0.5441)
Se (0.9602, 0.7500, 0.1528)

## Properties
Magnetic moment = 0.000 μB/cell
Uncorrected formation energy = -0.932 eV per atom
SG = P2_1/m, No. 11
Total energy = -3.89 eV per atom


# 6
## Nd3GeSBr (PBE-GGA)

Data for crystalline Nd3GeSBr at its relaxed geometry.

Lattice parameters (Å, degrees): 7.7588 4.0611 11.1534 90.00 107.39 90.00
Fractional coordinates of all 12 atoms:
Nd (0.1713, 0.2500, 0.1464)
Nd (0.1917, 0.2500, 0.4862)
Nd (0.3101, 0.7500, 0.8416)
Nd (0.6899, 0.2500, 0.1584)
Nd (0.8083, 0.7500, 0.5138)
Nd (0.8288, 0.7500, 0.8536)
Ge (0.0122, 0.2500, 0.7034)
Ge (0.9878, 0.7500, 0.2966)
S (0.4059, 0.7500, 0.1055)
S (0.5941, 0.2500, 0.8945)
Br (0.4750, 0.7500, 0.6248)
Br (0.5250, 0.2500, 0.3752)

## Properties
Magnetic moment = 0.000 μB/cell
Uncorrected formation energy = -1.314 eV per atom
SG = P2_1/m, No. 11
Total energy = -5.43 eV per atom